No. 1
Below is a geometry-optimized BaAcGd2 structure, with properties calculated at the GGA-PBE level.

abc: 3.7639 3.7639 39.6939
angles: 90.00 90.00 120.00
Space group R-3m (No. 166, hexagonal axes)
Inequivalent atoms, fractional coordinates:
Ba  0.0000  0.0000  0.0000
Ac  0.0000  0.0000  0.5000
Gd  0.0000  0.0000  0.0914

Results
* ΔE to the lowest computed polymorph: 84.8 meV per atom
* formation energy: 223.8 meV per atom



No. 2
Below is a geometry-optimized CaSb2AsI structure, with properties calculated at the GGA-PBE level.

abc: 5.983 5.983 5.743
angles: 90.00 90.00 90.00
Space group P4/mmm (No. 123)
Inequivalent atoms, fractional coordinates:
Ca  0.000  0.000  0.000
Sb  0.000  0.500  0.000
As  0.500  0.500  0.500
I  0.000  0.000  0.500

Results
* ΔE to the lowest computed polymorph: 574.6 meV per atom
* energy relative to the elements, uncorrected: 61 kJ/mol of atoms



No. 3
Below is a geometry-optimized Ba2CaBMo structure, with properties calculated at the GGA-PBE level.

abc: 6.366 6.366 4.388
angles: 90.00 90.00 90.00
Space group P4/mmm (No. 123)
Inequivalent atoms, fractional coordinates:
Ba  0.000  0.500  0.000
Ca  0.000  0.000  0.000
B  0.000  0.000  0.500
Mo  0.500  0.500  0.500

Results
* formation energy: 2003.7 meV per atom